# 1
A plane-wave DFT calculation with PBE was carried out for a relaxed structure of YV2Te2.

Space group   No. 139
ΔE_f (raw)   -0.3576 eV per atom

Structure (CIF):
```
data_YV2Te2
_cell_length_a 5.0703
_cell_length_b 5.0703
_cell_length_c 5.5485
_cell_angle_alpha 62.81
_cell_angle_beta 62.81
_cell_angle_gamma 90.00
_space_group_name_H-M_alt 'P 1'
_space_group_IT_number 1
loop_
_space_group_symop_operation_xyz
'x,y,z'
loop_
_atom_site_label
_atom_site_fract_x
_atom_site_fract_y
_atom_site_fract_z
_atom_site_occupancy
V1 0.3858 0.3858 0.2285 1
V2 0.6142 0.6142 0.7715 1
Te1 0.7500 0.2500 0.5000 1
Te2 0.2500 0.7500 0.5000 1
Y1 0.0000 0.0000 0.0000 1
```

***

# 2
A plane-wave DFT calculation with PBE was carried out for a relaxed structure of SrSc2W.

Space group   No. 216
Energy relative to the elements   861 meV/atom

Structure (CIF):
```
data_SrSc2W
_cell_length_a 5.1221
_cell_length_b 5.1221
_cell_length_c 5.1221
_cell_angle_alpha 60.00
_cell_angle_beta 60.00
_cell_angle_gamma 60.00
_space_group_name_H-M_alt 'P 1'
_space_group_IT_number 1
loop_
_space_group_symop_operation_xyz
'x,y,z'
loop_
_atom_site_label
_atom_site_fract_x
_atom_site_fract_y
_atom_site_fract_z
_atom_site_occupancy
Sc1 0.0000 0.0000 0.0000 1
Sc2 0.2500 0.2500 0.2500 1
W1 0.7500 0.7500 0.7500 1
Sr1 0.5000 0.5000 0.5000 1
```

***

# 3
A plane-wave DFT calculation with PBE was carried out for a relaxed structure of Li2CaAuN.

Space group   No. 123
ΔE_f (raw)   -0.4953 eV per atom

Structure (CIF):
```
data_Li2CaAuN
_cell_length_a 4.2043
_cell_length_b 4.2043
_cell_length_c 4.7697
_cell_angle_alpha 90.00
_cell_angle_beta 90.00
_cell_angle_gamma 90.00
_space_group_name_H-M_alt 'P 1'
_space_group_IT_number 1
loop_
_space_group_symop_operation_xyz
'x,y,z'
loop_
_atom_site_label
_atom_site_fract_x
_atom_site_fract_y
_atom_site_fract_z
_atom_site_occupancy
Ca1 0.0000 0.0000 0.5000 1
Li1 0.0000 0.5000 0.0000 1
Li2 0.5000 0.0000 0.0000 1
Au1 0.5000 0.5000 0.5000 1
N1 0.0000 0.0000 0.0000 1
```